An optimized crystal structure of Np2CuP3Ir4, computed with PBE-GGA.

The space group is P-4m2 (No. 115) and the conventional cell measures 4.0232, 4.0232 and 10.1249 Å, with angles of 90.00, 90.00 and 90.00 degrees. The distinct sites, in fractional coordinates, are Np at (0.0000, 0.5000, 0.2420), Cu at (0.5000, 0.5000, 0.0000), P at (0.0000, 0.0000, 0.0000), P at (0.0000, 0.5000, 0.6342), Ir at (0.0000, 0.0000, 0.5000), Ir at (0.0000, 0.5000, 0.8591) and Ir at (0.5000, 0.5000, 0.5000).


An optimized crystal structure of NpCuIrRh, computed with PBE-GGA.

The space group is F-43m (No. 216) and the conventional cell measures 6.4228, 6.4228 and 6.4228 Å, with angles of 90.00, 90.00 and 90.00 degrees. The distinct sites, in fractional coordinates, are Np at (0.0000, 0.0000, 0.0000), Cu at (0.0000, 0.0000, 0.5000), Ir at (0.2500, 0.2500, 0.7500) and Rh at (0.2500, 0.2500, 0.2500).


An optimized crystal structure of NpCuIrRu, computed with PBE-GGA.

The space group is F-43m (No. 216) and the conventional cell measures 6.3904, 6.3904 and 6.3904 Å, with angles of 90.00, 90.00 and 90.00 degrees. The distinct sites, in fractional coordinates, are Np at (0.0000, 0.0000, 0.0000), Cu at (0.0000, 0.0000, 0.5000), Ir at (0.2500, 0.2500, 0.2500) and Ru at (0.2500, 0.2500, 0.7500).


An optimized crystal structure of Np2CuSi4Ir3, computed with PBE-GGA.

The space group is P-4m2 (No. 115) and the conventional cell measures 4.1271, 4.1271 and 9.8723 Å, with angles of 90.00, 90.00 and 90.00 degrees. The distinct sites, in fractional coordinates, are Np at (0.0000, 0.5000, 0.2466), Cu at (0.0000, 0.0000, 0.5000), Si at (0.0000, 0.0000, 0.0000), Si at (0.0000, 0.5000, 0.6309), Si at (0.5000, 0.5000, 0.0000), Ir at (0.0000, 0.5000, 0.8715) and Ir at (0.5000, 0.5000, 0.5000).

Its formation energy (no corrections) is -0.588 eV per atom.


Short version: uncorrected energy = -8.726 -8.505 -8.838 -8.413 eV per atom, in the order given.